1.
DFT (meta-GGA SCAN) results for a crystal of CdNiAsSe2 relaxed with PBEsol.

Geometry as CIF:
```
data_CdNiAsSe2
_chemical_formula_sum 'Cd1 Ni1 As1 Se2'
_space_group_name_H-M_alt 'P 4/m m m'
_space_group_IT_number 123
_space_group_name_Hall '-P 4 2'
_cell_length_a 4.887
_cell_length_b 4.887
_cell_length_c 4.307
_cell_angle_alpha 90.00
_cell_angle_beta 90.00
_cell_angle_gamma 90.00
loop_
_atom_site_label
_atom_site_fract_x
_atom_site_fract_y
_atom_site_fract_z
_atom_site_occupancy
Cd1 0.000 0.000 0.000 1
Ni1 0.500 0.500 0.500 1
As1 0.500 0.500 0.000 1
Se1 0.000 0.500 0.500 1
```

- uncorrected formation energy (eV/atom) = 0.25
- DOS at the Fermi energy (states/eV per cell) = 3.3
- calculated density (g/cm3) = 6.52
- final energy (eV per atom) = -21.14



2.
DFT (meta-GGA SCAN) results for a crystal of ZrTeOsI2 relaxed with PBEsol.

Geometry as CIF:
```
data_ZrTeOsI2
_chemical_formula_sum 'Zr1 Te1 Os1 I2'
_space_group_name_H-M_alt 'P 4/m m m'
_space_group_IT_number 123
_space_group_name_Hall '-P 4 2'
_cell_length_a 5.188
_cell_length_b 5.188
_cell_length_c 5.180
_cell_angle_alpha 90.00
_cell_angle_beta 90.00
_cell_angle_gamma 90.00
loop_
_atom_site_label
_atom_site_fract_x
_atom_site_fract_y
_atom_site_fract_z
_atom_site_occupancy
Zr1 0.000 0.000 0.000 1
Te1 0.500 0.500 0.000 1
Os1 0.500 0.500 0.500 1
I1 0.000 0.500 0.500 1
```

- uncorrected formation energy (eV/atom) = 0.87
- DOS at the Fermi energy (states/eV per cell) = 4.3
- calculated density (g/cm3) = 7.90
- final energy (eV per atom) = -41.80



3.
DFT (meta-GGA SCAN) results for a crystal of TaAgAs2 relaxed with PBEsol.

Geometry as CIF:
```
data_TaAgAs2
_chemical_formula_sum 'Ta1 Ag1 As2'
_space_group_name_H-M_alt 'P 4 m m'
_space_group_IT_number 99
_cell_length_a 3.588
_cell_length_b 3.588
_cell_length_c 5.420
_cell_angle_alpha 90.00
_cell_angle_beta 90.00
_cell_angle_gamma 90.00
loop_
_space_group_symop_operation_xyz
'x,y,z'
'-y,x,z'
'-x,-y,z'
'y,-x,z'
'-x,y,z'
'y,x,z'
'x,-y,z'
'-y,-x,z'
loop_
_atom_site_label
_atom_site_fract_x
_atom_site_fract_y
_atom_site_fract_z
_atom_site_occupancy
Ta1 0.000 0.000 0.000 1
Ag1 0.500 0.500 0.319 1
As1 0.000 0.000 0.469 1
As2 0.500 0.500 0.837 1
```

- DOS at the Fermi energy (states/eV per cell) = 1.4
- calculated density (g/cm3) = 10.44
- formation energy from the elements (eV/atom) = -0.01
- final energy (eV per atom) = -34.59



- Among the records above, which one has the highest DOS at the Fermi energy?
  ZrTeOsI2